# 1
The following is a GGA-PBE calculation of crystalline Sr2LiCaGa at its relaxed geometry, from the Alexandria database.

Summary:
Offset from the most stable computed form: 0 meV per atom

abc: 6.211 6.211 5.855
angles: 90.00 90.00 90.00
Atoms (fractional coordinates):
Sr1 0.000 0.500 0.000
Sr2 0.500 0.000 0.000
Ca1 0.000 0.000 0.500
Ga1 0.000 0.000 0.000
Li1 0.500 0.500 0.500

# 2
The following is a GGA-PBE calculation of crystalline Sr2LiCaGa at its relaxed geometry, from the Alexandria database.

Summary:
Offset from the most stable computed form: 11 meV per atom

abc: 6.256 6.256 5.117
angles: 90.00 90.00 90.00
Atoms (fractional coordinates):
Sr1 0.000 0.500 0.000
Sr2 0.500 0.000 0.000
Ca1 0.500 0.500 0.500
Ga1 0.000 0.000 0.000
Li1 0.000 0.000 0.500

Energy relative to the elements readings, ordered: -0.005, 0.006 eV per atom